Computed, not measured: a relaxed CaHfO2 crystal at the GGA-PBE level of DFT.

extended XYZ file:
```
4
Lattice="-2.719 -6.064 -0.894 -0.329 -6.521 1.526 -3.409 -5.265 2.371" Properties=species:S:1:pos:R:3 pbc="T T T"
Ca -3.228 -8.926 1.501
Hf 0.000 0.000 0.000
O -5.797 -16.028 2.696
O -0.660 -1.824 0.307
```

Properties
Symmetry: R-3m
Spin magnetization, μB/f.u.: 0.00
ΔE_f (raw), meV per atom: -2580


Computed, not measured: a relaxed Hf2InFe crystal at the GGA-PBE level of DFT.

extended XYZ file:
```
4
Lattice="3.044 0.000 0.000 0.000 3.044 0.000 0.000 0.000 8.120" Properties=species:S:1:pos:R:3 pbc="T T T"
Hf 0.000 0.000 6.496
Hf 0.000 0.000 1.625
Fe 1.522 1.522 0.000
In 1.522 1.522 4.060
```

Properties
Symmetry: P4/mmm
Spin magnetization, μB/f.u.: 0.00
ΔH_f (0 K), eV per atom: -0.20


Computed, not measured: a relaxed NaV2Ag crystal at the GGA-PBE level of DFT.

extended XYZ file:
```
8
Lattice="2.791 -0.001 -0.002 0.886 2.647 0.001 0.127 0.020 18.630" Properties=species:S:1:pos:R:3 pbc="T T T"
Na 0.974 0.657 16.991
Na 2.830 2.010 1.637
V 2.823 1.993 6.524
V 0.981 0.673 12.104
V 2.821 1.996 10.287
V 0.983 0.670 8.341
Ag 2.815 1.991 14.392
Ag 0.990 0.676 4.236
```

Properties
Symmetry: P-1
Spin magnetization, μB/f.u.: 0.00
ΔH_f (0 K), eV per atom: 0.19


Computed, not measured: a relaxed Ba3Pt crystal at the GGA-PBE level of DFT.

extended XYZ file:
```
4
Lattice="-2.045 -2.484 -2.420 1.105 -3.130 2.278 -9.088 1.363 6.283" Properties=species:S:1:pos:R:3 pbc="T T T"
Ba -8.288 1.243 5.730
Ba -5.344 0.802 3.694
Ba -2.742 -2.466 1.500
Pt -7.286 -1.784 4.641
```

Properties
Symmetry: P4/mmm
Spin magnetization, μB/f.u.: 0.00
ΔH_f (0 K), eV per atom: -0.35


Computed, not measured: a relaxed Ho3AlTl crystal at the GGA-PBE level of DFT.

extended XYZ file:
```
10
Lattice="-3.627 2.629 2.059 1.003 -2.042 4.375 5.249 9.377 3.173" Properties=species:S:1:pos:R:3 pbc="T T T"
Ho -1.905 2.607 3.043
Ho 3.481 8.756 4.679
Ho 0.791 5.685 3.862
Ho 0.420 0.283 4.205
Ho 2.179 9.061 7.898
Ho 3.110 3.354 5.021
Al -0.051 3.131 5.642
Al 0.325 8.537 5.300
Tl 2.647 6.211 6.461
Tl 1.253 2.828 2.422
```

Properties
Symmetry: Cmcm
Spin magnetization, μB/f.u.: 0.05
ΔH_f (0 K), eV per atom: -0.27


Computed, not measured: a relaxed CeSm2Mg crystal at the GGA-PBE level of DFT.

extended XYZ file:
```
4
Lattice="-1.989 1.321 -2.656 1.697 -2.116 -2.323 -6.363 -6.685 1.442" Properties=species:S:1:pos:R:3 pbc="T T T"
Mg -0.146 -0.398 -2.489
Ce -3.328 -3.740 -1.768
Sm -4.816 -5.059 1.092
Sm -1.547 -1.625 0.351
```

Properties
Symmetry: P4/mmm
Spin magnetization, μB/f.u.: 0.22
ΔH_f (0 K), eV per atom: 0.00


Computed, not measured: a relaxed K2HgGe2 crystal at the GGA-PBE level of DFT.

extended XYZ file:
```
5
Lattice="6.352 0.000 0.000 0.000 6.352 0.000 3.176 3.176 4.923" Properties=species:S:1:pos:R:3 pbc="T T T"
K 6.352 3.176 2.461
K 3.176 6.352 2.461
Ge 3.176 3.176 1.117
Ge 6.352 6.352 3.806
Hg 0.000 0.000 0.000
```

Properties
Symmetry: I4/mmm
Spin magnetization, μB/f.u.: 0.00
ΔH_f (0 K), eV per atom: 0.01


Computed, not measured: a relaxed Ge2Pt crystal at the GGA-PBE level of DFT.

extended XYZ file:
```
12
Lattice="6.201 0.000 0.000 0.000 5.652 -2.917 0.000 0.152 6.376" Properties=species:S:1:pos:R:3 pbc="T T T"
Ge 2.321 0.882 1.944
Ge 5.421 4.846 -1.673
Ge 3.880 4.921 1.515
Ge 0.780 0.958 5.132
Ge 5.424 2.045 3.431
Ge 2.324 3.834 3.216
Ge 0.777 3.758 0.028
Ge 3.877 1.969 0.243
Pt 3.083 1.647 4.279
Pt 6.184 4.232 2.368
Pt 3.117 4.156 -0.820
Pt 0.017 1.571 1.091
```

Properties
Symmetry: P2_1/c
Spin magnetization, μB/f.u.: 0.00
ΔH_f (0 K), eV per atom: -0.35


Computed, not measured: a relaxed TiH crystal at the GGA-PBE level of DFT.

extended XYZ file:
```
16
Lattice="5.732 0.000 0.000 0.000 5.732 0.000 0.000 0.000 5.732" Properties=species:S:1:pos:R:3 pbc="T T T"
Ti 1.868 1.868 1.868
Ti 1.868 3.864 3.864
Ti 3.864 1.868 3.864
Ti 3.864 3.864 1.868
Ti 4.734 4.734 4.734
Ti 4.734 0.998 0.998
Ti 0.998 4.734 0.998
Ti 0.998 0.998 4.734
H 0.819 0.819 0.819
H 0.819 4.913 4.913
H 4.913 0.819 4.913
H 4.913 4.913 0.819
H 3.685 3.685 3.685
H 3.685 2.047 2.047
H 2.047 3.685 2.047
H 2.047 2.047 3.685
```

Properties
Symmetry: I-43m
Spin magnetization, μB/f.u.: 0.00
Calculated total energy, eV/cell: -89.7


Computed, not measured: a relaxed SrAcPrTl crystal at the GGA-PBE level of DFT.

extended XYZ file:
```
4
Lattice="-4.490 1.658 3.528 -5.506 -1.974 -1.069 -2.508 -3.946 3.672" Properties=species:S:1:pos:R:3 pbc="T T T"
Pr -3.126 -1.066 1.533
Sr -9.378 -3.197 4.599
Ac -6.252 -2.131 3.066
Tl 0.000 0.000 0.000
```

Properties
Symmetry: F-43m
Spin magnetization, μB/f.u.: 0.47
ΔH_f (0 K), eV per atom: 0.06


Computed, not measured: a relaxed NaSr2Zn9 crystal at the GGA-PBE level of DFT.

extended XYZ file:
```
12
Lattice="5.670 0.000 0.000 2.835 4.910 0.000 2.835 1.637 8.866" Properties=species:S:1:pos:R:3 pbc="T T T"
Na 0.000 0.000 0.000
Sr 8.505 4.910 3.740
Sr 2.835 1.637 5.126
Zn 5.670 3.274 0.031
Zn 5.670 3.274 8.835
Zn 5.670 3.274 4.433
Zn 4.236 2.446 2.124
Zn 7.104 2.446 2.124
Zn 5.670 4.929 2.124
Zn 7.104 4.101 6.742
Zn 5.670 1.618 6.742
Zn 4.236 4.101 6.742
```

Properties
Symmetry: R-3m
Spin magnetization, μB/f.u.: 0.00
ΔH_f (0 K), eV per atom: -0.10


Computed, not measured: a relaxed La2Pm6PrHo crystal at the GGA-PBE level of DFT.

extended XYZ file:
```
20
Lattice="9.535 -2.262 -2.348 0.735 8.664 -2.030 0.735 -2.350 8.583" Properties=species:S:1:pos:R:3 pbc="T T T"
La 5.487 4.275 3.371
La 0.751 1.973 0.982
La 5.519 -0.223 0.834
La 10.254 2.079 3.223
Pm 1.163 -0.822 5.958
Pm 5.076 -0.802 5.979
Pm 9.843 4.874 -1.753
Pm 5.930 4.854 -1.774
Pm 4.004 6.813 0.908
Pm 2.235 4.529 -1.463
Pm 7.002 -2.761 3.297
Pm 8.771 -0.477 5.668
Pm 2.021 4.647 2.528
Pm 4.217 2.829 0.641
Pm 8.985 -0.595 1.677
Pm 6.788 1.223 3.564
Pr 3.119 7.961 -2.484
Pr 7.887 -3.909 6.689
Ho 3.119 1.554 3.689
Ho 7.887 2.498 0.516
```

Properties
Symmetry: C2/c
Spin magnetization, μB/f.u.: 0.00
ΔH_f (0 K), eV per atom: 0.11